(1)
A relaxed Ac2Pm3Ir2 crystal. Source: Alexandria, functional GGA-PBE.

It has space group C2/m (No. 12), with a = 12.787 Å, b = 4.031 Å, c = 9.448 Å, α = 90.00°, β = 116.71° and γ = 90.00°. The asymmetric unit holds Ac at (0.168, 0.000, 0.299), Pm at (0.000, 0.500, 0.500), Pm at (0.121, 0.500, 0.923) and Ir at (0.174, 0.000, 0.747).

The calculation puts the formation energy at -500 meV/atom. For the volume, the calculation gives 435.0 Å³/cell. As for the magnetic moment: 0.00 μB/f.u.



(2)
A relaxed La3Pm6NdSm2 crystal. Source: Alexandria, functional GGA-PBE.

It has space group C2/m (No. 12), with a = 6.369 Å, b = 11.042 Å, c = 12.174 Å, α = 90.00°, β = 100.14° and γ = 90.00°. The asymmetric unit holds La at (0.000, 0.000, 0.000), La at (0.000, 0.333, 0.000), Pm at (0.248, 0.000, 0.747), Pm at (0.249, 0.333, 0.747), Nd at (0.000, 0.500, 0.500) and Sm at (0.000, 0.167, 0.500).

The calculation puts the formation energy at 16 meV/atom. For the volume, the calculation gives 842.7 Å³/cell. As for the magnetic moment: 0.00 μB/f.u.



(3)
A relaxed PmPr2SmEr crystal. Source: Alexandria, functional GGA-PBE.

It has space group P2/c (No. 13), with a = 8.238 Å, b = 6.768 Å, c = 6.295 Å, α = 90.00°, β = 90.25° and γ = 90.00°. The asymmetric unit holds Pm at (0.000, 0.079, 0.250), Pr at (0.305, 0.196, 0.748), Sm at (0.000, 0.500, 0.000) and Er at (0.500, 0.340, 0.250).

The calculation puts the formation energy at 257 meV/atom. For the volume, the calculation gives 351.0 Å³/cell. As for the magnetic moment: 0.00 μB/f.u.